An optimized crystal structure of Ba2Ge3PdPt12, computed with GGA-PBE.

```
18
Lattice="-2.5600 4.3073 -6.2857 1.7926 -2.8716 -7.2909 -6.0884 -3.0983 -4.2365" Properties=species:S:1:pos:R:3 pbc="T T T"
Ge -1.2800 2.1536 -3.1428
Ge -3.0442 -1.5491 -2.1183
Pt -3.9162 -1.7619 -4.3747
Ge 0.8963 -1.4358 -3.6454
Ba -2.6748 -0.6487 -6.9500
Pt -3.8804 1.8753 -9.8733
Ba -4.1809 -1.0139 -10.8631
Pt -2.9753 -3.5378 -7.9397
Pt -1.3930 -2.2273 -10.4477
Pt -0.9589 0.6943 -9.1108
Pt -2.1492 1.9468 -5.4010
Pt -6.8863 -0.0142 -11.9087
Pt -2.9395 0.0994 -13.4383
Pt -5.4627 0.5647 -7.3653
Pt 0.0306 -1.6484 -5.9044
Pd 0.0000 0.0000 0.0000
Pt -4.7065 -3.6094 -12.4121
Pt -5.8968 -2.3568 -8.7022
```

Computed properties:
symmetry: R-3m (166)

***

An optimized crystal structure of SbAsPdF2, computed with GGA-PBE.

```
5
Lattice="-1.3545 3.9608 0.0643 -0.0192 -0.0949 5.4363 3.9612 1.3540 0.0376" Properties=species:S:1:pos:R:3 pbc="T T T"
As 1.2938 2.6100 2.7691
Sb 0.0000 0.0000 0.0000
Pd -0.0096 -0.0474 2.7182
F 1.9806 0.6770 0.0188
F -0.6772 1.9804 0.0322
```

Computed properties:
formation energy (no corrections): -870 meV per atom
symmetry: P4/mmm (123)

***

| no. | volume (Å³/cell) | DFT total energy (eV/f.u.) |
| --- | --- | --- |
| 1 | 395 | -97.27 |
| 2 | 95 | -22.06 |